## BeFeSnHg (PBE-GGA)

Data for BeFeSnHg after structural relaxation.

Computed properties:
- Energy above the lowest structure with this stoichiometry: 0.0 meV/atom
- Space-group type: F-43m, No. 216
- Total magnetization: 2.25 μB per formula unit

Geometry as POSCAR:
```
BeFeSnHg
1.0
0.0000 3.2256 3.2256
3.2256 0.0000 3.2256
3.2256 3.2256 0.0000
Be Fe Hg Sn
1 1 1 1
direct
0.2500 0.2500 0.2500 Be
0.7500 0.7500 0.7500 Fe
0.5000 0.5000 0.5000 Hg
0.0000 0.0000 0.0000 Sn
```

## BeZnFeHg (PBE-GGA)

Data for BeZnFeHg after structural relaxation.

Computed properties:
- Energy above the lowest structure with this stoichiometry: 38.4 meV/atom
- Space-group type: F-43m, No. 216
- Total magnetization: 2.36 μB per formula unit

Geometry as POSCAR:
```
BeZnFeHg
1.0
0.0000 3.0496 3.0496
3.0496 0.0000 3.0496
3.0496 3.0496 0.0000
Be Fe Hg Zn
1 1 1 1
direct
0.2500 0.2500 0.2500 Be
0.7500 0.7500 0.7500 Fe
0.5000 0.5000 0.5000 Hg
0.0000 0.0000 0.0000 Zn
```

## BeZnFeHg (PBE-GGA)

Data for BeZnFeHg after structural relaxation.

Computed properties:
- Energy above the lowest structure with this stoichiometry: 0.0 meV/atom
- Space-group type: F-43m, No. 216
- Total magnetization: 2.16 μB per formula unit

Geometry as POSCAR:
```
BeZnFeHg
1.0
0.0000 3.0284 3.0284
3.0284 0.0000 3.0284
3.0284 3.0284 0.0000
Be Fe Hg Zn
1 1 1 1
direct
0.5000 0.5000 0.5000 Be
0.7500 0.7500 0.7500 Fe
0.2500 0.2500 0.2500 Hg
0.0000 0.0000 0.0000 Zn
```

## HoBeFe (PBE-GGA)

Data for HoBeFe after structural relaxation.

Computed properties:
- Energy above the lowest structure with this stoichiometry: 105.9 meV/atom
- Space-group type: F-43m, No. 216
- Total magnetization: 0.91 μB per formula unit

Geometry as POSCAR:
```
HoBeFe
1.0
2.9861 1.2091 2.6928
-0.8542 0.2633 4.1026
1.6653 -2.7765 2.6736
Be Fe Ho
1 1 1
direct
0.2500 0.2500 0.2500 Be
0.0000 0.0000 0.0000 Fe
0.7500 0.7500 0.7500 Ho
```

## HoBeFe (PBE-GGA)

Data for HoBeFe after structural relaxation.

Computed properties:
- Energy above the lowest structure with this stoichiometry: 0.0 meV/atom
- Space-group type: F-43m, No. 216
- Total magnetization: 0.83 μB per formula unit

Geometry as POSCAR:
```
HoBeFe
1.0
0.0000 2.9260 2.9260
2.9260 0.0000 2.9260
2.9260 2.9260 0.0000
Be Fe Ho
1 1 1
direct
0.0000 0.0000 0.0000 Be
0.2500 0.2500 0.2500 Fe
0.7500 0.7500 0.7500 Ho
```

## BeInFe2 (PBE-GGA)

Data for BeInFe2 after structural relaxation.

Computed properties:
- Energy above the lowest structure with this stoichiometry: 0.0 meV/atom
- Space-group type: Pm-3m, No. 221
- Total magnetization: 4.11 μB per formula unit

Geometry as POSCAR:
```
BeInFe2
1.0
-1.6006 -5.6382 -0.7791
4.4601 -0.7396 -3.8104
3.5361 -1.6193 4.4534
Be Fe In
4 8 4
direct
0.5000 0.5000 0.0000 Be
0.5000 0.0000 0.5000 Be
0.0000 0.5000 0.5000 Be
0.5000 0.5000 0.5000 Be
0.2872 0.2872 0.2872 Fe
0.7128 0.2872 0.2872 Fe
0.2872 0.7128 0.2872 Fe
0.7128 0.7128 0.2872 Fe
0.2872 0.2872 0.7128 Fe
0.7128 0.2872 0.7128 Fe
0.2872 0.7128 0.7128 Fe
0.7128 0.7128 0.7128 Fe
0.0000 0.0000 0.0000 In
0.5000 0.0000 0.0000 In
0.0000 0.5000 0.0000 In
0.0000 0.0000 0.5000 In
```

## BeInFe2 (PBE-GGA)

Data for BeInFe2 after structural relaxation.

Computed properties:
- Energy above the lowest structure with this stoichiometry: 0.0 meV/atom
- Space-group type: Pm-3m, No. 221
- Total magnetization: 4.11 μB per formula unit

Geometry as POSCAR:
```
BeInFe2
1.0
5.9125 0.0000 0.0000
0.0000 5.9125 0.0000
0.0000 0.0000 5.9125
Be Fe In
4 8 4
direct
0.0000 0.0000 0.0000 Be
0.5000 0.0000 0.0000 Be
0.0000 0.5000 0.0000 Be
0.0000 0.0000 0.5000 Be
0.2128 0.2128 0.2128 Fe
0.7872 0.2128 0.2128 Fe
0.2128 0.7872 0.2128 Fe
0.7872 0.7872 0.2128 Fe
0.2128 0.2128 0.7872 Fe
0.7872 0.2128 0.7872 Fe
0.2128 0.7872 0.7872 Fe
0.7872 0.7872 0.7872 Fe
0.5000 0.5000 0.0000 In
0.5000 0.0000 0.5000 In
0.0000 0.5000 0.5000 In
0.5000 0.5000 0.5000 In
```

## BeInFe2 (PBE-GGA)

Data for BeInFe2 after structural relaxation.

Computed properties:
- Energy above the lowest structure with this stoichiometry: 68.8 meV/atom
- Space-group type: F-43m, No. 216
- Total magnetization: 4.28 μB per formula unit

Geometry as POSCAR:
```
BeInFe2
1.0
0.0000 2.9556 2.9556
2.9556 0.0000 2.9556
2.9556 2.9556 0.0000
Be Fe In
1 2 1
direct
0.2500 0.2500 0.2500 Be
0.0000 0.0000 0.0000 Fe
0.7500 0.7500 0.7500 Fe
0.5000 0.5000 0.5000 In
```

## MgBeInFe (PBE-GGA)

Data for MgBeInFe after structural relaxation.

Computed properties:
- Energy above the lowest structure with this stoichiometry: 0.0 meV/atom
- Space-group type: F-43m, No. 216
- Total magnetization: 1.84 μB per formula unit

Geometry as POSCAR:
```
MgBeInFe
1.0
2.7474 0.1099 3.3861
2.3151 3.6061 0.8140
-0.9325 2.4497 3.4865
Be Fe In Mg
1 1 1 1
direct
0.7500 0.7500 0.7500 Be
0.2500 0.2500 0.2500 Fe
0.0000 0.0000 0.0000 In
0.5000 0.5000 0.5000 Mg
```

## BeInFeOs (PBE-GGA)

Data for BeInFeOs after structural relaxation.

Computed properties:
- Energy above the lowest structure with this stoichiometry: 0.0 meV/atom
- Space-group type: F-43m, No. 216
- Total magnetization: 2.75 μB per formula unit

Geometry as POSCAR:
```
BeInFeOs
1.0
0.0000 3.0060 3.0060
3.0060 0.0000 3.0060
3.0060 3.0060 0.0000
Be Fe In Os
1 1 1 1
direct
0.2500 0.2500 0.2500 Be
0.7500 0.7500 0.7500 Fe
0.0000 0.0000 0.0000 In
0.5000 0.5000 0.5000 Os
```

## BeInFeRe (PBE-GGA)

Data for BeInFeRe after structural relaxation.

Computed properties:
- Energy above the lowest structure with this stoichiometry: 0.0 meV/atom
- Space-group type: F-43m, No. 216
- Total magnetization: 2.03 μB per formula unit

Geometry as POSCAR:
```
BeInFeRe
1.0
3.7171 1.6112 1.2707
0.0918 3.0726 2.9289
1.4505 -0.8303 3.9031
Be Fe In Re
1 1 1 1
direct
0.2500 0.2500 0.2500 Be
0.7500 0.7500 0.7500 Fe
0.0000 0.0000 0.0000 In
0.5000 0.5000 0.5000 Re
```

## ScBeInFe (PBE-GGA)

Data for ScBeInFe after structural relaxation.

Computed properties:
- Energy above the lowest structure with this stoichiometry: 0.0 meV/atom
- Space-group type: F-43m, No. 216
- Total magnetization: 1.39 μB per formula unit

Geometry as POSCAR:
```
ScBeInFe
1.0
-1.1275 -4.2481 0.3852
0.0940 -1.9576 3.9528
-3.7716 -1.1085 2.0030
Be Fe In Sc
1 1 1 1
direct
0.5000 0.5000 0.5000 Be
0.0000 0.0000 0.0000 Fe
0.2500 0.2500 0.2500 In
0.7500 0.7500 0.7500 Sc
```